# 1
{"formula": "MgZnW2N4", "functional": "PBE-GGA", "state": "relaxed", "lattice_angstrom": [[0.847, -3.144, 4.605], [-0.184, 3.470, 4.443], [-3.630, -0.671, -4.264]], "species": ["N", "N", "N", "N", "W", "W", "Zn", "Mg"], "frac_coords": [[0.874, 0.857, 0.476], [0.382, 0.398, 0.524], [0.602, 0.126, 0.984], [0.143, 0.618, 0.016], [0.250, 0.750, 0.500], [0.500, 0.500, 0.000], [0.750, 0.250, 0.500], [0.000, 0.000, 0.000]], "spacegroup": "I-4", "rho_g_cm3": 8.380, "polymorph_energy_mev_per_atom": 404, "dft_energy_ev_per_cell": -63.417}


# 2
{"formula": "PrGdAg2P4", "functional": "PBE-GGA", "state": "relaxed", "lattice_angstrom": [[3.907, 0.000, 0.000], [0.000, 3.907, 0.000], [0.000, 0.000, 10.353]], "species": ["P", "P", "P", "P", "Gd", "Ag", "Ag", "Pr"], "frac_coords": [[0.500, 0.500, 0.317], [0.500, 0.000, 0.007], [0.000, 0.500, 0.007], [0.000, 0.000, 0.674], [0.000, 0.000, 0.224], [0.500, 0.000, 0.496], [0.000, 0.500, 0.496], [0.500, 0.500, 0.779]], "spacegroup": "P4mm", "rho_g_cm3": 6.701, "dft_energy_ev_per_cell": -42.325}


# 3
{"formula": "TbNdGa2Br2", "functional": "PBE-GGA", "state": "relaxed", "lattice_angstrom": [[-1.329, -3.210, 2.339], [3.867, 1.519, 0.531], [-3.953, 7.331, 7.817]], "species": ["Nd", "Ga", "Ga", "Br", "Br", "Tb"], "frac_coords": [[0.000, 0.000, 0.683], [0.333, 0.667, 0.524], [0.667, 0.333, 0.467], [0.667, 0.333, 0.844], [0.333, 0.667, 0.165], [0.000, 0.000, 0.317]], "spacegroup": "P3m1", "rho_g_cm3": 5.765, "dft_energy_ev_per_cell": -26.256}


# 4
{"formula": "TmNiPd", "functional": "PBE-GGA", "state": "relaxed", "lattice_angstrom": [[0.000, 3.132, 3.132], [3.132, 0.000, 3.132], [3.132, 3.132, 0.000]], "species": ["Ni", "Tm", "Pd"], "frac_coords": [[0.250, 0.250, 0.250], [0.000, 0.000, 0.000], [0.750, 0.750, 0.750]], "spacegroup": "F-43m", "rho_g_cm3": 9.027, "dft_energy_ev_per_cell": -15.452, "formation_energy_kj_per_mol_atoms": -7.5}


# 5
{"formula": "Cu5Ag4", "functional": "PBE-GGA", "state": "relaxed", "lattice_angstrom": [[7.008, -1.408, 0.000], [7.008, 1.408, 0.000], [-4.255, 0.000, 6.680]], "species": ["Cu", "Cu", "Cu", "Cu", "Cu", "Ag", "Ag", "Ag", "Ag"], "frac_coords": [[0.455, 0.455, 0.192], [0.336, 0.336, 0.505], [0.000, 0.000, 0.500], [0.664, 0.664, 0.495], [0.545, 0.545, 0.808], [0.789, 0.789, 0.180], [0.889, 0.889, 0.834], [0.211, 0.211, 0.820], [0.111, 0.111, 0.166]], "spacegroup": "C2/m", "rho_g_cm3": 9.442, "polymorph_energy_mev_per_atom": 64, "dft_energy_ev_per_cell": -28.939, "formation_energy_kj_per_mol_atoms": 10.1}


# 6
{"formula": "GdMgCu", "functional": "PBE-GGA", "state": "relaxed", "lattice_angstrom": [[-0.611, -1.037, -4.795], [4.447, -0.523, 2.095], [-1.344, -5.755, 1.415]], "species": ["Mg", "Mg", "Gd", "Gd", "Cu", "Cu"], "frac_coords": [[0.000, 0.000, 0.000], [0.000, 0.000, 0.500], [0.667, 0.333, 0.250], [0.333, 0.667, 0.750], [0.667, 0.333, 0.750], [0.333, 0.667, 0.250]], "spacegroup": "P6_3/mmc", "rho_g_cm3": 6.329, "dft_energy_ev_per_cell": -20.799}


# 7
{"formula": "GaMo", "functional": "PBE-GGA", "state": "relaxed", "lattice_angstrom": [[0.551, -3.382, 1.175], [-1.687, -1.179, 2.982], [-2.642, -2.464, -0.268]], "species": ["Mo", "Ga"], "frac_coords": [[0.500, 0.500, 0.500], [0.000, 0.000, 0.000]], "spacegroup": "Fm-3m", "rho_g_cm3": 8.182, "polymorph_energy_mev_per_atom": 480, "dft_energy_ev_per_cell": -12.916}


# 8
{"formula": "LaNbB", "functional": "PBE-GGA", "state": "relaxed", "lattice_angstrom": [[0.000, 3.242, 3.242], [3.242, 0.000, 3.242], [3.242, 3.242, 0.000]], "species": ["Nb", "La", "B"], "frac_coords": [[0.750, 0.750, 0.750], [0.000, 0.000, 0.000], [0.250, 0.250, 0.250]], "spacegroup": "F-43m", "rho_g_cm3": 5.913, "polymorph_energy_mev_per_atom": 1268, "dft_energy_ev_per_cell": -16.422}


# 9
{"formula": "KPuTl", "functional": "PBE-GGA", "state": "relaxed", "lattice_angstrom": [[0.000, 3.934, 3.934], [3.934, 0.000, 3.934], [3.934, 3.934, 0.000]], "species": ["Tl", "K", "Pu"], "frac_coords": [[0.000, 0.000, 0.000], [0.250, 0.250, 0.250], [0.750, 0.750, 0.750]], "spacegroup": "F-43m", "rho_g_cm3": 6.646, "polymorph_energy_mev_per_atom": 0, "dft_energy_ev_per_cell": -16.156}


# 10
{"formula": "BeNbFeB", "functional": "PBE-GGA", "state": "relaxed", "lattice_angstrom": [[-3.802, -0.906, 0.455], [-2.555, 0.718, -2.905], [-1.567, -2.988, -2.025]], "species": ["B", "Be", "Nb", "Fe"], "frac_coords": [[0.500, 0.500, 0.500], [0.750, 0.750, 0.750], [0.250, 0.250, 0.250], [0.000, 0.000, 0.000]], "spacegroup": "F-43m", "rho_g_cm3": 6.500, "polymorph_energy_mev_per_atom": 95, "dft_energy_ev_per_cell": -28.196}


# 11
{"formula": "RbNbCl3", "functional": "PBE-GGA", "state": "relaxed", "lattice_angstrom": [[3.627, 1.662, 7.124], [7.524, 2.849, 1.392], [2.274, 7.227, 3.043]], "species": ["Cl", "Cl", "Cl", "Cl", "Cl", "Cl", "Rb", "Rb", "Nb", "Nb"], "frac_coords": [[0.945, 0.192, 0.562], [0.562, 0.945, 0.192], [0.055, 0.808, 0.438], [0.438, 0.055, 0.808], [0.192, 0.562, 0.945], [0.808, 0.438, 0.055], [0.353, 0.353, 0.353], [0.647, 0.647, 0.647], [0.835, 0.835, 0.835], [0.165, 0.165, 0.165]], "spacegroup": "R-3", "rho_g_cm3": 3.117, "dft_energy_ev_per_cell": -44.934}


# 12
{"formula": "Dy2Ho", "functional": "PBE-GGA", "state": "relaxed", "lattice_angstrom": [[0.000, 3.806, 3.806], [3.806, 0.000, 3.806], [3.806, 3.806, 0.000]], "species": ["Dy", "Dy", "Ho"], "frac_coords": [[0.250, 0.250, 0.250], [0.750, 0.750, 0.750], [0.000, 0.000, 0.000]], "spacegroup": "Fm-3m", "rho_g_cm3": 7.380, "polymorph_energy_mev_per_atom": 459, "dft_energy_ev_per_cell": -11.605, "formation_energy_kj_per_mol_atoms": 70.0}


# 13
{"formula": "Co3Si5Au", "functional": "PBE-GGA", "state": "relaxed", "lattice_angstrom": [[4.868, 0.000, 0.000], [-2.434, 4.216, 0.000], [0.000, 0.000, 5.966]], "species": ["Co", "Co", "Co", "Si", "Si", "Si", "Si", "Si", "Au"], "frac_coords": [[0.000, 0.500, 0.500], [0.500, 0.000, 0.500], [0.500, 0.500, 0.500], [0.000, 0.000, 0.500], [0.333, 0.667, 0.804], [0.667, 0.333, 0.196], [0.333, 0.667, 0.196], [0.667, 0.333, 0.804], [0.000, 0.000, 0.000]], "spacegroup": "P6/mmm", "rho_g_cm3": 6.975, "dft_energy_ev_per_cell": -53.184}


# 14
{"formula": "Hf2MoAu", "functional": "PBE-GGA", "state": "relaxed", "lattice_angstrom": [[0.000, 3.331, 3.331], [3.331, 0.000, 3.331], [3.331, 3.331, 0.000]], "species": ["Au", "Hf", "Hf", "Mo"], "frac_coords": [[0.750, 0.750, 0.750], [0.000, 0.000, 0.000], [0.250, 0.250, 0.250], [0.500, 0.500, 0.500]], "spacegroup": "F-43m", "rho_g_cm3": 14.599, "dft_energy_ev_per_cell": -33.681, "formation_energy_kj_per_mol_atoms": 8.3}


# 15
{"formula": "GdErGa4Pt2", "functional": "PBE-GGA", "state": "relaxed", "lattice_angstrom": [[-5.916, 2.327, -2.148], [-0.131, 3.570, 4.230], [1.798, 5.193, 0.673]], "species": ["Ga", "Ga", "Ga", "Ga", "Er", "Gd", "Pt", "Pt"], "frac_coords": [[0.197, 0.368, 0.368], [0.302, 0.631, 0.631], [0.698, 0.631, 0.631], [0.803, 0.368, 0.368], [0.000, 0.083, 0.083], [0.500, 0.917, 0.917], [0.000, 0.795, 0.795], [0.500, 0.205, 0.205]], "spacegroup": "Amm2", "rho_g_cm3": 11.081, "dft_energy_ev_per_cell": -40.847}


# 16
{"formula": "PrPd2N2", "functional": "PBE-GGA", "state": "relaxed", "lattice_angstrom": [[-3.359, -0.313, 2.099], [0.701, -3.873, 0.545], [4.470, 1.855, 7.428]], "species": ["N", "N", "N", "N", "Pd", "Pd", "Pd", "Pd", "Pr", "Pr"], "frac_coords": [[0.000, 0.500, 0.658], [0.000, 0.000, 0.000], [0.500, 0.000, 0.342], [0.500, 0.500, 0.000], [0.000, 0.500, 0.905], [0.000, 0.000, 0.500], [0.500, 0.000, 0.095], [0.500, 0.500, 0.500], [0.500, 0.000, 0.760], [0.000, 0.500, 0.240]], "spacegroup": "P4/nmm", "rho_g_cm3": 9.057, "dft_energy_ev_per_cell": -61.891}


# 17
{"formula": "Gd3Tl4Sn2Pb", "functional": "PBE-GGA", "state": "relaxed", "lattice_angstrom": [[-7.346, 9.799, -2.442], [4.469, -11.624, -0.926], [-2.978, -1.408, 3.307]], "species": ["Sn", "Sn", "Gd", "Gd", "Gd", "Pb", "Tl", "Tl", "Tl", "Tl"], "frac_coords": [[0.902, 0.098, 0.000], [0.098, 0.902, 0.000], [0.189, 0.811, 0.500], [0.811, 0.189, 0.500], [0.000, 0.000, 0.500], [0.500, 0.500, 0.000], [0.399, 0.601, 0.500], [0.601, 0.399, 0.500], [0.707, 0.293, 0.000], [0.293, 0.707, 0.000]], "spacegroup": "Cmmm", "rho_g_cm3": 10.505, "polymorph_energy_mev_per_atom": 47, "dft_energy_ev_per_cell": -38.672}


# 18
{"formula": "LiAgNO", "functional": "PBE-GGA", "state": "relaxed", "lattice_angstrom": [[3.998, 0.000, 0.000], [0.000, 6.490, 0.000], [0.000, 0.000, 7.110]], "species": ["Li", "Li", "Li", "Li", "N", "N", "N", "N", "Ag", "Ag", "Ag", "Ag", "O", "O", "O", "O"], "frac_coords": [[0.050, 0.166, 0.135], [0.050, 0.666, 0.865], [0.550, 0.834, 0.865], [0.550, 0.334, 0.135], [0.051, 0.963, 0.950], [0.051, 0.463, 0.050], [0.551, 0.037, 0.050], [0.551, 0.537, 0.950], [0.051, 0.045, 0.670], [0.051, 0.545, 0.330], [0.551, 0.955, 0.330], [0.551, 0.455, 0.670], [0.051, 0.027, 0.367], [0.051, 0.527, 0.633], [0.551, 0.973, 0.633], [0.551, 0.473, 0.367]], "spacegroup": "Pbcm", "rho_g_cm3": 5.214, "polymorph_energy_mev_per_atom": 181, "dft_energy_ev_per_cell": -66.485}


# 19
{"formula": "ErPt5", "functional": "PBE-GGA", "state": "relaxed", "lattice_angstrom": [[-2.899, 2.468, -3.695], [-2.079, -0.989, 4.780], [1.489, 3.939, 1.463]], "species": ["Er", "Pt", "Pt", "Pt", "Pt", "Pt"], "frac_coords": [[0.000, 0.000, 0.000], [0.000, 0.500, 0.500], [0.667, 0.333, 0.000], [0.333, 0.667, 0.000], [0.500, 0.000, 0.500], [0.500, 0.500, 0.500]], "spacegroup": "P6/mmm", "rho_g_cm3": 17.457, "dft_energy_ev_per_cell": -38.791, "formation_energy_kj_per_mol_atoms": -63.5}


# 20
{"formula": "ErTmRe", "functional": "PBE-GGA", "state": "relaxed", "lattice_angstrom": [[0.000, 3.345, 3.345], [3.345, 0.000, 3.345], [3.345, 3.345, 0.000]], "species": ["Er", "Tm", "Re"], "frac_coords": [[0.250, 0.250, 0.250], [0.000, 0.000, 0.000], [0.750, 0.750, 0.750]], "spacegroup": "F-43m", "rho_g_cm3": 11.591, "dft_energy_ev_per_cell": -18.131, "formation_energy_kj_per_mol_atoms": 107.1}